No. 1
Density functional theory data (PBE) for a relaxed CaTaTlO4 crystal.

Computed properties:
- raw formation energy (eV per atom) = -2.407
- total magnetic moment (μB/f.u.) = 0.0
- electronic total energy (eV per atom) = -7.5572

POSCAR file:
```
CaTaTlO4
1.0
6.3181 0.0000 0.0000
0.0000 6.2981 0.0000
-1.7549 0.0000 7.2974
Ca Ta Tl O
2 2 2 8
Direct
0.1806 0.2500 0.0565
0.8194 0.7500 0.9435
0.2960 0.7500 0.8571
0.7040 0.2500 0.1429
0.2918 0.2500 0.5884
0.7082 0.7500 0.4116
0.0993 0.5228 0.8425
0.0993 0.9772 0.8425
0.4847 0.7500 0.6981
0.4913 0.7500 0.0831
0.5087 0.2500 0.9169
0.5153 0.2500 0.3019
0.9007 0.0228 0.1575
0.9007 0.4772 0.1575
```

***

No. 2
Density functional theory data (PBE) for a relaxed La8FeSn2 crystal.

Computed properties:
- total magnetic moment (μB/f.u.) = 0.0
- electronic total energy (eV per atom) = -5.3883
- energy of formation (meV per atom) = -308

POSCAR file:
```
La8FeSn2
1.0
9.2806 -2.8465 0.0000
9.2806 2.8465 0.0000
-2.4311 0.0000 6.4358
La Fe Sn
8 1 2
Direct
0.0010 0.0010 0.2184
0.2160 0.2160 0.1802
0.3596 0.3596 0.6378
0.4125 0.4125 0.2058
0.5875 0.5875 0.7942
0.6404 0.6404 0.3622
0.7840 0.7840 0.8198
0.9990 0.9990 0.7816
0.5000 0.5000 0.0000
0.1720 0.1720 0.6549
0.8280 0.8280 0.3451
```

***

No. 3
Density functional theory data (PBE) for a relaxed ZrTlCl6 crystal.

Computed properties:
- raw formation energy (eV per atom) = -1.321
- total magnetic moment (μB/f.u.) = 0.0
- electronic total energy (eV per atom) = -4.0701

POSCAR file:
```
ZrTlCl6
1.0
12.1346 0.0000 0.0000
0.0000 7.5199 0.0000
-3.9718 0.0000 5.7296
Zr Tl Cl
2 2 12
Direct
0.0000 0.0000 0.0000
0.5000 0.5000 0.0000
0.0000 0.5000 0.5000
0.5000 0.0000 0.5000
0.0775 0.2320 0.3050
0.0775 0.7680 0.3050
0.2273 0.0000 0.0738
0.2727 0.5000 0.9262
0.4225 0.2680 0.6950
0.4225 0.7320 0.6950
0.5775 0.2680 0.3050
0.5775 0.7320 0.3050
0.7273 0.5000 0.0738
0.7727 0.0000 0.9262
0.9225 0.2320 0.6950
0.9225 0.7680 0.6950
```

***

No. 4
Density functional theory data (PBE) for a relaxed Dy5HoErIn2 crystal.

Computed properties:
- total magnetic moment (μB/f.u.) = 0.0
- electronic total energy (eV per atom) = -4.1752
- energy of formation (meV per atom) = 6

POSCAR file:
```
Dy5HoErIn2
1.0
-3.8102 3.8102 9.6526
3.8102 -3.8102 9.6526
3.8102 3.8102 -9.6526
Dy Ho Er In
10 2 2 4
Direct
0.0000 0.0000 0.0000
0.0769 0.5769 0.9036
0.1733 0.0769 0.5000
0.3267 0.8267 0.9036
0.4231 0.3267 0.5000
0.5000 0.5000 0.0000
0.5769 0.6733 0.5000
0.6733 0.1733 0.0964
0.8267 0.9231 0.5000
0.9231 0.4231 0.0964
0.2500 0.2500 0.0000
0.7500 0.7500 0.0000
0.2500 0.7500 0.5000
0.7500 0.2500 0.5000
0.1237 0.3763 0.5000
0.3763 0.8763 0.2527
0.6237 0.1237 0.7473
0.8763 0.6237 0.5000
```

***

No. 5
Density functional theory data (PBE) for a relaxed LiTaSeBr2 crystal.

Computed properties:
- raw formation energy (eV per atom) = 0.356
- total magnetic moment (μB/f.u.) = 2.0
- electronic total energy (eV per atom) = -3.7629

POSCAR file:
```
LiTaSeBr2
1.0
4.6094 0.0000 0.0000
0.0000 4.6094 0.0000
0.0000 0.0000 5.0484
Li Ta Se Br
1 1 1 2
Direct
0.0000 0.0000 0.0000
0.5000 0.5000 0.5000
0.0000 0.0000 0.5000
0.0000 0.5000 0.0000
0.5000 0.0000 0.0000
```

***

No. 6
Density functional theory data (PBE) for a relaxed KCa2Ni crystal.

Computed properties:
- total magnetic moment (μB/f.u.) = 0.0
- electronic total energy (eV per atom) = -2.2305
- energy of formation (meV per atom) = 490

POSCAR file:
```
KCa2Ni
1.0
4.8447 0.0000 0.0000
0.0000 4.8447 0.0000
0.0000 0.0000 10.7730
K Ca Ni
2 4 2
Direct
0.0000 0.0000 0.0000
0.5000 0.5000 0.5000
0.0000 0.0000 0.5000
0.0000 0.5000 0.2500
0.5000 0.0000 0.7500
0.5000 0.5000 0.0000
0.0000 0.5000 0.7500
0.5000 0.0000 0.2500
```

***

No. 7
Density functional theory data (PBE) for a relaxed Tl2Hg2Te crystal.

Computed properties:
- raw formation energy (eV per atom) = 0.008
- total magnetic moment (μB/f.u.) = 0.0
- electronic total energy (eV per atom) = -1.6879

POSCAR file:
```
Tl2Hg2Te
1.0
6.0215 0.0000 0.0000
0.0000 6.0215 0.0000
0.0000 0.0000 9.3779
Tl Hg Te
4 4 2
Direct
0.0000 0.5000 0.2500
0.0000 0.5000 0.7500
0.5000 0.0000 0.2500
0.5000 0.0000 0.7500
0.0000 0.0000 0.1536
0.0000 0.0000 0.8464
0.5000 0.5000 0.3464
0.5000 0.5000 0.6536
0.0000 0.0000 0.5000
0.5000 0.5000 0.0000
```

***

No. 8
Density functional theory data (PBE) for a relaxed SrNbAg2Rh crystal.

Computed properties:
- total magnetic moment (μB/f.u.) = 0.0
- electronic total energy (eV per atom) = -4.4579
- energy of formation (meV per atom) = 503

POSCAR file:
```
SrNbAg2Rh
1.0
5.2918 0.0000 0.0000
0.0000 5.2918 0.0000
0.0000 0.0000 4.7189
Sr Nb Ag Rh
1 1 2 1
Direct
0.0000 0.0000 0.0000
0.5000 0.5000 0.5000
0.0000 0.5000 0.5000
0.5000 0.0000 0.5000
0.5000 0.5000 0.0000
```